VBiS (PBE, optimized geometry); total moment = 0.65 μB per cell; E_tot = -18.175 eV for the cell shown; N(E_F) = 0.82 states/eV per atom; polymorph energy (0 for the lowest one) = 49 meV/atom; space group = P1, No. 1
1.0
3.292 0.000 0.000
1.643 2.855 0.000
0.034 1.846 7.101
V Bi S
1 1 1
direct
0.000 0.000 0.000
0.767 0.457 0.326
0.609 0.787 0.814